# Ac3InGe6 | the Alexandria database | PBE | optimized geometry
data_Ac3InGe6
_chemical_formula_sum 'Ac18 In6 Ge36'
_cell_length_a 12.4085
_cell_length_b 12.4085
_cell_length_c 11.9393
_cell_angle_alpha 90.00
_cell_angle_beta 90.00
_cell_angle_gamma 120.00
_space_group_name_H-M_alt 'R -3 c'
_space_group_IT_number 167
_space_group_name_Hall '-R 3 2"c'
loop_
_atom_site_label
_atom_site_type_symbol
_atom_site_fract_x
_atom_site_fract_y
_atom_site_fract_z
Ac1 Ac 0.0000 0.4380 0.2500
In1 In 0.0000 0.0000 0.0000
Ge1 Ge 0.0696 0.2167 0.3365
# ΔH_f (0 K) ... -492.5 meV/atom
# Total magnetic moment ... 0.0 μB/f.u.
# Density ... 7.71 g/cm³